Entry 1:
The following is a PBE calculation of an optimized crystal structure of Nd2AlGa, from the Alexandria database.

Values from the calculation:
Size of the total moment = 0.000 μB/atom
Electronic total energy = -4.398 eV/atom
ΔE_f = -0.321 eV/atom
N(E_F) = 1.006 states/eV/atom

Cell: 4.268 4.270 7.570 Å, 73.59 73.63 60.01°
Element x y z (fractional)
Nd: 0.703 0.466 0.128
Ga: 0.479 0.243 0.798
Al: 0.127 0.890 0.856
Nd: 0.900 0.664 0.535



Entry 2:
The following is a PBE calculation of an optimized crystal structure of Nd2Al5Ga3, from the Alexandria database.

Values from the calculation:
Size of the total moment = 0.000 μB/atom
Electronic total energy = -4.114 eV/atom
ΔE_f = -0.381 eV/atom
N(E_F) = 0.442 states/eV/atom

Cell: 6.017 8.779 8.779 Å, 78.38 69.96 69.96°
Element x y z (fractional)
Al: 0.250 0.500 0.500
Al: 0.629 0.740 0.002
Al: 0.511 0.739 0.739
Al: 0.489 0.261 0.261
Nd: 0.373 0.881 0.373
Nd: 0.873 0.373 0.881
Al: 0.371 0.260 0.998
Al: 0.989 0.261 0.261
Ga: 0.250 0.000 0.000
Ga: 0.750 0.000 0.000
Nd: 0.627 0.119 0.627
Ga: 0.620 0.524 0.237
Al: 0.129 0.002 0.740
Ga: 0.880 0.763 0.476
Ga: 0.380 0.476 0.763
Al: 0.871 0.998 0.260
Al: 0.750 0.500 0.500
Al: 0.011 0.739 0.739
Nd: 0.127 0.627 0.119
Ga: 0.120 0.237 0.524



Entry 3:
The following is a PBE calculation of an optimized crystal structure of Nd5Al4Ga, from the Alexandria database.

Values from the calculation:
Size of the total moment = 0.000 μB/atom
Electronic total energy = -4.577 eV/atom
ΔE_f = -0.393 eV/atom
N(E_F) = 0.381 states/eV/atom

Cell: 3.724 3.724 18.595 Å, 90.00 90.00 90.00°
Element x y z (fractional)
Al: 0.000 0.000 0.600
Ga: 0.000 0.000 0.000
Al: 0.000 0.000 0.801
Nd: 0.500 0.500 0.299
Al: 0.000 0.000 0.199
Nd: 0.500 0.500 0.901
Nd: 0.500 0.500 0.701
Nd: 0.500 0.500 0.500
Al: 0.000 0.000 0.400
Nd: 0.500 0.500 0.099



Entry 4:
The following is a PBE calculation of an optimized crystal structure of NdAl3Ga2, from the Alexandria database.

Values from the calculation:
Size of the total moment = 0.000 μB/atom
Electronic total energy = -3.988 eV/atom
ΔE_f = -0.313 eV/atom
N(E_F) = 0.301 states/eV/atom

Cell: 4.313 8.233 8.178 Å, 59.96 74.71 74.81°
Element x y z (fractional)
Ga: 0.190 0.333 0.287
Ga: 0.810 0.667 0.713
Ga: 0.479 0.878 0.164
Al: 0.959 0.717 0.365
Nd: 0.848 0.236 0.068
Al: 0.412 0.496 0.680
Al: 0.695 0.068 0.542
Al: 0.588 0.504 0.320
Nd: 0.152 0.764 0.932
Ga: 0.521 0.122 0.836
Al: 0.041 0.283 0.635
Al: 0.305 0.932 0.458



Entry 5:
The following is a PBE calculation of an optimized crystal structure of Nd4AlGa2, from the Alexandria database.

Values from the calculation:
Excess energy over the best structure of this formula in the dataset = 0.0 meV per atom
Size of the total moment = 0.000 μB/atom
Electronic total energy = -4.484 eV/atom
ΔE_f = -0.360 eV/atom
N(E_F) = 0.966 states/eV/atom

Cell: 5.175 5.175 8.937 Å, 73.17 73.17 60.00°
Element x y z (fractional)
Nd: 0.620 0.620 0.141
Nd: 0.871 0.871 0.386
Nd: 0.129 0.129 0.614
Ga: 0.749 0.749 0.754
Nd: 0.380 0.380 0.859
Ga: 0.251 0.251 0.246
Al: 0.000 0.000 0.000



Entry 6:
The following is a PBE calculation of an optimized crystal structure of Nd8AlGa6, from the Alexandria database.

Values from the calculation:
Size of the total moment = 0.000 μB/atom
Electronic total energy = -4.346 eV/atom
ΔE_f = -0.342 eV/atom
N(E_F) = 0.962 states/eV/atom

Cell: 8.963 8.963 8.052 Å, 56.18 56.18 60.00°
Element x y z (fractional)
Nd: 0.332 0.332 0.005
Ga: 0.400 0.048 0.841
Ga: 0.289 0.600 0.159
Ga: 0.600 0.952 0.159
Al: 0.000 0.000 0.000
Ga: 0.952 0.289 0.159
Nd: 0.668 0.668 0.995
Ga: 0.711 0.400 0.841
Nd: 0.619 0.172 0.331
Nd: 0.828 0.122 0.669
Ga: 0.048 0.711 0.841
Nd: 0.172 0.878 0.331
Nd: 0.122 0.381 0.669
Nd: 0.878 0.619 0.331
Nd: 0.381 0.828 0.669



Entry 7:
The following is a PBE calculation of an optimized crystal structure of Nd6AlGa, from the Alexandria database.

Values from the calculation:
Size of the total moment = 0.000 μB/atom
Electronic total energy = -4.622 eV/atom
ΔE_f = -0.200 eV/atom
N(E_F) = 1.598 states/eV/atom

Cell: 4.878 4.878 9.767 Å, 90.00 90.00 90.00°
Element x y z (fractional)
Nd: 0.500 0.000 0.249
Nd: 0.000 0.500 0.751
Nd: 0.500 0.000 0.751
Ga: 0.000 0.000 0.000
Al: 0.000 0.000 0.500
Nd: 0.500 0.500 0.500
Nd: 0.500 0.500 0.000
Nd: 0.000 0.500 0.249



Entry 8:
The following is a PBE calculation of an optimized crystal structure of Nd8Al2Ga, from the Alexandria database.

Values from the calculation:
Excess energy over the best structure of this formula in the dataset = 37.7 meV per atom
Size of the total moment = 0.000 μB/atom
Electronic total energy = -4.590 eV/atom
ΔE_f = -0.167 eV/atom
N(E_F) = 1.136 states/eV/atom

Cell: 5.124 8.630 8.963 Å, 118.78 106.61 90.00°
Element x y z (fractional)
Nd: 0.000 0.318 0.000
Nd: 0.658 0.882 0.316
Nd: 0.342 0.118 0.684
Nd: 0.138 0.138 0.277
Ga: 0.500 0.000 0.000
Al: 0.807 0.307 0.613
Nd: 0.862 0.862 0.723
Nd: 0.342 0.565 0.684
Nd: 0.000 0.682 0.000
Al: 0.193 0.693 0.387
Nd: 0.658 0.435 0.316



Question: Among the records above, which one has the highest ΔE_f?
Answer: Nd8Al2Ga



Question: The highest N(E_F) belongs to which entry?
Answer: Nd6AlGa



Question: Among the records above, which one has the highest electronic total energy?
Answer: NdAl3Ga2



Question: The highest electronic total energy belongs to which entry?
Answer: NdAl3Ga2